Computed, not measured: a geometry-optimized PmYEr2S6 structure at the PBE-GGA level of DFT.

The structure belongs to space group R3 (No. 146, hexagonal axes); the cell edges are 6.9377, 6.9377 and 18.5022 Å and the angles 90.00°, 90.00° and 120.00°. The asymmetric unit holds Pm at (0.0000, 0.0000, 0.0000), Y at (0.0000, 0.0000, 0.4959), Er at (0.0000, 0.0000, 0.2945), Er at (0.0000, 0.0000, 0.7969), S at (0.0077, 0.3069, 0.8934) and S at (0.0190, 0.7132, 0.3938).

The calculation puts the calculated volume at 25.71 Å³/atom. The calculation puts the uncorrected formation energy at -2.0535 eV/atom. The total magnetic moment is 0.00 μB/cell.

Computed, not measured: a geometry-optimized Li2SmEr2Ge2 structure at the PBE-GGA level of DFT.

The structure belongs to space group R-3m (No. 166, hexagonal axes); the cell edges are 4.4842, 4.4842 and 26.6027 Å and the angles 90.00°, 90.00° and 120.00°. The asymmetric unit holds Li at (0.0000, 0.0000, 0.0954), Sm at (0.0000, 0.0000, 0.5000), Er at (0.0000, 0.0000, 0.3720) and Ge at (0.0000, 0.0000, 0.2397).

The energy of formation from the pure elements comes out at -0.481 eV/atom. The calculation puts the calculated volume at 22.06 Å³/atom. The total magnetic moment is 0.00 μB/cell.

Sequential E output: -6.56; -4.32 eV/atom